(1)
# SCAN PrCu2Si2, single point on PBEsol structure
data_PrCu2Si2
_chemical_formula_sum 'Pr2 Cu4 Si4'
_space_group_name_H-M_alt 'I 4/m m m'
_space_group_IT_number 139
_space_group_name_Hall '-I 4 2'
_cell_length_a 4.0548
_cell_length_b 4.0548
_cell_length_c 9.8285
_cell_angle_alpha 90.00
_cell_angle_beta 90.00
_cell_angle_gamma 90.00
loop_
_atom_site_label
_atom_site_type_symbol
_atom_site_fract_x
_atom_site_fract_y
_atom_site_fract_z
Pr1 Pr 0.0000 0.0000 0.0000
Cu1 Cu 0.0000 0.5000 0.2500
Si1 Si 0.0000 0.0000 0.3775
# **Energy relative to the elements, uncorrected**: -3.1 eV/f.u.
# **Volume**: 16.2 Å³ per atom

---

(2)
# SCAN Pr2Cu3Sn6, single point on PBEsol structure
data_Pr2Cu3Sn6
_chemical_formula_sum 'Pr4 Cu6 Sn12'
_space_group_name_H-M_alt 'I 4 m m'
_space_group_IT_number 107
_space_group_name_Hall 'I 4 -2'
_cell_length_a 4.4283
_cell_length_b 4.4283
_cell_length_c 25.3964
_cell_angle_alpha 90.00
_cell_angle_beta 90.00
_cell_angle_gamma 90.00
loop_
_atom_site_label
_atom_site_type_symbol
_atom_site_fract_x
_atom_site_fract_y
_atom_site_fract_z
Pr1 Pr 0.0000 0.0000 0.0000
Pr2 Pr 0.0000 0.0000 0.3129
Cu1 Cu 0.0000 0.0000 0.7612
Cu2 Cu 0.0000 0.5000 0.4102
Sn1 Sn 0.0000 0.0000 0.4664
Sn2 Sn 0.0000 0.0000 0.8588
Sn3 Sn 0.0000 0.5000 0.0954
Sn4 Sn 0.0000 0.5000 0.2079
# **Formation energy from the elements**: -43 kJ per mole of atoms
# **Volume**: 22.6 Å³ per atom

---

(3)
# SCAN CuPt2, single point on PBEsol structure
data_CuPt2
_chemical_formula_sum 'Cu4 Pt8'
_space_group_name_H-M_alt 'P 1 21/m 1'
_space_group_IT_number 11
_space_group_name_Hall '-P 2yb'
_cell_length_a 7.5192
_cell_length_b 2.7227
_cell_length_c 8.1468
_cell_angle_alpha 90.00
_cell_angle_beta 90.15
_cell_angle_gamma 90.00
loop_
_atom_site_label
_atom_site_type_symbol
_atom_site_fract_x
_atom_site_fract_y
_atom_site_fract_z
Cu1 Cu 0.1142 0.2500 0.0802
Cu2 Cu 0.1192 0.2500 0.7596
Pt1 Pt 0.1154 0.2500 0.4069
Pt2 Pt 0.3601 0.7500 0.9186
Pt3 Pt 0.3644 0.7500 0.5865
Pt4 Pt 0.3720 0.7500 0.2450
# **Formation energy from the elements**: -8 kJ per mole of atoms
# **Volume**: 13.9 Å³ per atom

---

(4)
# SCAN Cu5Pt7, single point on PBEsol structure
data_Cu5Pt7
_chemical_formula_sum 'Cu5 Pt7'
_space_group_name_H-M_alt 'P m m m'
_space_group_IT_number 47
_space_group_name_Hall '-P 2 2'
_cell_length_a 2.7003
_cell_length_b 7.5264
_cell_length_c 8.0548
_cell_angle_alpha 90.00
_cell_angle_beta 90.00
_cell_angle_gamma 90.00
loop_
_atom_site_label
_atom_site_type_symbol
_atom_site_fract_x
_atom_site_fract_y
_atom_site_fract_z
Cu1 Cu 0.0000 0.0000 0.0000
Cu2 Cu 0.0000 0.5000 0.3451
Cu3 Cu 0.5000 0.2598 0.5000
Pt1 Pt 0.0000 0.0000 0.3371
Pt2 Pt 0.0000 0.5000 0.0000
Pt3 Pt 0.5000 0.2533 0.1743
# **Formation energy from the elements**: -11 kJ per mole of atoms
# **Volume**: 13.6 Å³ per atom

---

(5)
# SCAN Cu5Pt3, single point on PBEsol structure
data_Cu5Pt3
_chemical_formula_sum 'Cu15 Pt9'
_space_group_name_H-M_alt 'R -3 m'
_space_group_IT_number 166
_space_group_name_Hall '-R 3 2"'
_cell_length_a 5.3186
_cell_length_b 5.3186
_cell_length_c 12.6898
_cell_angle_alpha 90.00
_cell_angle_beta 90.00
_cell_angle_gamma 120.00
loop_
_atom_site_label
_atom_site_type_symbol
_atom_site_fract_x
_atom_site_fract_y
_atom_site_fract_z
Cu1 Cu 0.0000 0.0000 0.0000
Cu2 Cu 0.0000 0.0000 0.5000
Cu3 Cu 0.0000 0.5000 0.0000
Pt1 Pt 0.0000 0.5000 0.5000
# **Formation energy from the elements**: -15 kJ per mole of atoms
# **Volume**: 13.0 Å³ per atom

---

(6)
# SCAN Cu4Pt3, single point on PBEsol structure
data_Cu4Pt3
_chemical_formula_sum 'Cu8 Pt6'
_space_group_name_H-M_alt 'I m m 2'
_space_group_IT_number 44
_space_group_name_Hall 'I 2 -2'
_cell_length_a 2.6879
_cell_length_b 3.6367
_cell_length_c 18.6906
_cell_angle_alpha 90.00
_cell_angle_beta 90.00
_cell_angle_gamma 90.00
loop_
_atom_site_label
_atom_site_type_symbol
_atom_site_fract_x
_atom_site_fract_y
_atom_site_fract_z
Cu1 Cu 0.0000 0.0000 0.0000
Cu2 Cu 0.0000 0.0000 0.1329
Cu3 Cu 0.0000 0.0000 0.5663
Cu4 Cu 0.0000 0.0000 0.8567
Pt1 Pt 0.0000 0.0000 0.2842
Pt2 Pt 0.0000 0.0000 0.4301
Pt3 Pt 0.0000 0.0000 0.7023
# **Formation energy from the elements**: -10 kJ per mole of atoms
# **Volume**: 13.1 Å³ per atom